# 1
A geometry-optimized NdSc2Pd structure, computed with PBE.

Computed properties:
The space group is P4/mmm, No. 123. The value obtained for the formation energy from the elements is -0.41 eV/atom. The spin magnetization comes out at 0.000 μB/atom. Its total energy is -6.063 eV per atom.

Cell: 3.3915 3.3915 8.2084 Å, 90.00 90.00 90.00°
Atoms (fractional coordinates):
Sc (0.0000, 0.0000, 0.8084)
Sc (0.0000, 0.0000, 0.1916)
Nd (0.5000, 0.5000, 0.5000)
Pd (0.5000, 0.5000, 0.0000)



# 2
A geometry-optimized NdSc2Pd structure, computed with PBE.

Computed properties:
The space group is R-3m, No. 166. The value obtained for the formation energy from the elements is -0.18 eV/atom. The spin magnetization comes out at 0.000 μB/atom. Its total energy is -5.836 eV per atom.

Cell: 4.5701 4.5701 6.1661 Å, 68.25 68.25 60.00°
Atoms (fractional coordinates):
Sc (0.7851, 0.7851, 0.6448)
Sc (0.2149, 0.2149, 0.3552)
Nd (0.0000, 0.0000, 0.0000)
Pd (0.5000, 0.5000, 0.5000)



# 3
A geometry-optimized NdSc2Pd structure, computed with PBE.

Computed properties:
The space group is Pnma, No. 62. The value obtained for the formation energy from the elements is -0.42 eV/atom. The spin magnetization comes out at 0.000 μB/atom. Its total energy is -6.071 eV per atom.

Cell: 6.2292 6.7824 9.3645 Å, 90.00 90.00 90.00°
Atoms (fractional coordinates):
Nd (0.6279, 0.5080, 0.2500)
Nd (0.8721, 0.0080, 0.2500)
Nd (0.3721, 0.4920, 0.7500)
Nd (0.1279, 0.9920, 0.7500)
Sc (0.1715, 0.6762, 0.0564)
Sc (0.3285, 0.1762, 0.4436)
Sc (0.8285, 0.3238, 0.5564)
Sc (0.6715, 0.8238, 0.9436)
Sc (0.8285, 0.3238, 0.9436)
Sc (0.6715, 0.8238, 0.5564)
Sc (0.1715, 0.6762, 0.4436)
Sc (0.3285, 0.1762, 0.0564)
Pd (0.0905, 0.3909, 0.2500)
Pd (0.4095, 0.8909, 0.2500)
Pd (0.9095, 0.6091, 0.7500)
Pd (0.5905, 0.1091, 0.7500)